# meta-GGA SCAN NbCd3I, single point on PBEsol structure
data_NbCd3I
_cell_length_a 5.559
_cell_length_b 5.559
_cell_length_c 5.559
_cell_angle_alpha 90.00
_cell_angle_beta 90.00
_cell_angle_gamma 90.00
_space_group_name_H-M_alt 'P m -3 m'
_space_group_IT_number 221
_space_group_name_Hall '-P 4 2 3'
loop_
_atom_site_label
_atom_site_fract_x
_atom_site_fract_y
_atom_site_fract_z
Nb1 0.000 0.000 0.000
Cd1 0.000 0.500 0.500
I1 0.500 0.500 0.500
# * D(E_F): 1.01 states/eV per atom
# * E_tot: -153.52 eV per cell
# * ΔE_f (raw): 7.60 eV/f.u.

# meta-GGA SCAN Li3ReAg, single point on PBEsol structure
data_Li3ReAg
_cell_length_a 4.512
_cell_length_b 4.512
_cell_length_c 4.512
_cell_angle_alpha 90.00
_cell_angle_beta 90.00
_cell_angle_gamma 90.00
_space_group_name_H-M_alt 'P m -3 m'
_space_group_IT_number 221
_space_group_name_Hall '-P 4 2 3'
loop_
_atom_site_label
_atom_site_fract_x
_atom_site_fract_y
_atom_site_fract_z
Li1 0.000 0.000 0.500
Re1 0.500 0.500 0.500
Ag1 0.000 0.000 0.000
# * calculated formation energy: 6.2 eV/f.u.
# * D(E_F): 0.77 states/eV per atom
# * E_tot: -103.48 eV per cell

# meta-GGA SCAN Al2SiTe, single point on PBEsol structure
data_Al2SiTe
_cell_length_a 3.937
_cell_length_b 3.937
_cell_length_c 10.252
_cell_angle_alpha 90.00
_cell_angle_beta 90.00
_cell_angle_gamma 90.00
_space_group_name_H-M_alt 'I -4 m 2'
_space_group_IT_number 119
_space_group_name_Hall 'I -4 -2'
loop_
_atom_site_label
_atom_site_fract_x
_atom_site_fract_y
_atom_site_fract_z
Al1 0.000 0.000 0.000
Al2 0.000 0.500 0.250
Si1 0.000 0.000 0.500
Te1 0.000 0.500 0.750
# * D(E_F): 0.49 states/eV per atom
# * E_tot: -122.15 eV per cell
# * ΔE_f (raw): 1.69 eV/f.u.

# meta-GGA SCAN Ag2SbAu, single point on PBEsol structure
data_Ag2SbAu
_cell_length_a 4.199
_cell_length_b 4.199
_cell_length_c 8.450
_cell_angle_alpha 90.00
_cell_angle_beta 90.00
_cell_angle_gamma 90.00
_space_group_name_H-M_alt 'I -4 m 2'
_space_group_IT_number 119
_space_group_name_Hall 'I -4 -2'
loop_
_atom_site_label
_atom_site_fract_x
_atom_site_fract_y
_atom_site_fract_z
Ag1 0.000 0.000 0.000
Ag2 0.000 0.500 0.250
Sb1 0.000 0.500 0.750
Au1 0.000 0.000 0.500
# * D(E_F): 0.34 states/eV per atom
# * E_tot: -338.10 eV per cell
# * ΔE_f (raw): 0.10 eV/f.u.